1.
First-principles (PBE) data for a relaxed structure of CoCu2Ni8, as listed in Alexandria.

abc: 8.845 7.966 4.185
angles: 90.00 106.12 90.00
Space group C2/m (No. 12)
Asymmetric unit:
Co: 0.000 0.000 0.000 x2
Cu: 0.144 0.000 0.551 x4
Ni: 0.073 0.500 0.294 x4
Ni: 0.084 0.252 0.808 x8
Ni: 0.227 0.500 0.880 x4

## Properties
- crystal system = monoclinic
- energy of formation from the pure elements (kJ per mole of atoms) = 42.40
- distance to the lowest polymorph of the same formula (meV per atom) = 418

***

2.
First-principles (PBE) data for a relaxed structure of HgTe2Se2, as listed in Alexandria.

abc: 4.201 4.201 17.523
angles: 90.00 90.00 90.00
Space group I4/mmm (No. 139)
Asymmetric unit:
Hg: 0.000 0.000 0.000 x2
Te: 0.000 0.500 0.250 x4
Se: 0.000 0.000 0.432 x4

## Properties
- energy relative to the elements, uncorrected (meV per atom) = 289
- crystal system = tetragonal
- distance to the lowest polymorph of the same formula (meV per atom) = 227

***

3.
First-principles (PBE) data for a relaxed structure of SmEr3Te4, as listed in Alexandria.

abc: 6.151 6.151 12.328
angles: 90.00 90.00 90.00
Space group I4/mmm (No. 139)
Asymmetric unit:
Sm: 0.000 0.000 0.000 x2
Er: 0.000 0.000 0.500 x2
Er: 0.000 0.500 0.250 x4
Te: 0.000 0.000 0.254 x4
Te: 0.000 0.500 0.000 x4

## Properties
- energy relative to the elements, uncorrected (meV per atom) = -1244
- crystal system = tetragonal
- distance to the lowest polymorph of the same formula (meV per atom) = 8

***

4.
First-principles (PBE) data for a relaxed structure of GaTeH, as listed in Alexandria.

abc: 7.133 4.928 8.134
angles: 90.00 115.84 90.00
Space group C2 (No. 5)
Asymmetric unit:
Ga: 0.000 0.000 0.000 x2
Ga: 0.000 0.483 0.500 x2
Te: 0.179 0.833 0.786 x4
H: 0.193 0.343 0.494 x4

## Properties
- crystal system = monoclinic
- distance to the lowest polymorph of the same formula (meV per atom) = 195

***

5.
First-principles (PBE) data for a relaxed structure of Ce3Sm4YP8, as listed in Alexandria.

abc: 8.1688 8.1688 20.0226
angles: 90.00 90.00 120.00
Space group R-3m (No. 166, hexagonal axes)
Asymmetric unit:
Ce: 0.0000 0.5000 0.0000 x9
Sm: 0.0000 0.0000 0.5000 x3
Sm: 0.0000 0.5000 0.5000 x9
Y: 0.0000 0.0000 0.0000 x3
P: 0.0000 0.0000 0.2512 x6
P: 0.9997 0.4998 0.2517 x18

## Properties
- crystal system = trigonal
- energy of formation from the pure elements (kJ per mole of atoms) = -150.43

***

6.
First-principles (PBE) data for a relaxed structure of ReAsCF2, as listed in Alexandria.

abc: 3.934 3.934 5.050
angles: 90.00 90.00 90.00
Space group P4/mmm (No. 123)
Asymmetric unit:
Re: 0.000 0.000 0.000 x1
As: 0.000 0.000 0.500 x1
C: 0.500 0.500 0.500 x1
F: 0.000 0.500 0.000 x2

## Properties
- energy relative to the elements, uncorrected (meV per atom) = 608
- crystal system = tetragonal

***

7.
First-principles (PBE) data for a relaxed structure of Ce6Bi2Te3As, as listed in Alexandria.

abc: 19.529 4.458 9.047
angles: 90.00 102.74 90.00
Space group C2/m (No. 12)
Asymmetric unit:
Ce: 0.003 0.000 0.272 x4
Ce: 0.158 0.500 0.576 x4
Ce: 0.166 0.500 0.086 x4
Bi: 0.166 0.000 0.833 x4
Te: 0.000 0.500 0.000 x2
Te: 0.171 0.000 0.336 x4
As: 0.000 0.500 0.500 x2

## Properties
- energy relative to the elements, uncorrected (meV per atom) = -1179
- crystal system = monoclinic

***

8.
First-principles (PBE) data for a relaxed structure of TmScOsAu, as listed in Alexandria.

abc: 6.755 6.755 6.755
angles: 90.00 90.00 90.00
Space group F-43m (No. 216)
Asymmetric unit:
Tm: 0.000 0.000 0.000 x4
Sc: 0.000 0.000 0.500 x4
Os: 0.250 0.250 0.750 x4
Au: 0.250 0.250 0.250 x4

## Properties
- crystal system = cubic
- energy of formation from the pure elements (kJ per mole of atoms) = -52.72

***

9.
First-principles (PBE) data for a relaxed structure of MgSc2P, as listed in Alexandria.

abc: 6.789 6.789 6.789
angles: 90.00 90.00 90.00
Space group F-43m (No. 216)
Asymmetric unit:
Mg: 0.000 0.000 0.000 x4
Sc: 0.000 0.000 0.500 x4
Sc: 0.250 0.250 0.750 x4
P: 0.250 0.250 0.250 x4

## Properties
- crystal system = cubic
- energy of formation from the pure elements (kJ per mole of atoms) = 6.21
- distance to the lowest polymorph of the same formula (meV per atom) = 773

***

10.
First-principles (PBE) data for a relaxed structure of FeS3Br, as listed in Alexandria.

abc: 4.461 4.461 4.461
angles: 90.00 90.00 90.00
Space group Pm-3m (No. 221)
Asymmetric unit:
Fe: 0.000 0.000 0.000 x1
S: 0.000 0.000 0.500 x3
Br: 0.500 0.500 0.500 x1

## Properties
- energy relative to the elements, uncorrected (meV per atom) = 526
- crystal system = cubic
- distance to the lowest polymorph of the same formula (meV per atom) = 0